## Pm12Pr5Ho2 (PBE)

Data for a relaxed Pm12Pr5Ho2 crystal.

Properties
Density ... 6913 kg/m³
Space group ... No. 12
Energy above the most stable polymorph in this dataset ... 6.8 kJ/mol of atoms
Energy of formation ... 0.167 eV per atom

a = 7.2357 Å, b = 10.0971 Å, c = 10.5194 Å
α = 69.76°, β = 90.00°, γ = 111.00°
Atoms (fractional coordinates):
Pm1 0.9770 0.9541 0.2402
Pm2 0.0893 0.6820 0.8658
Pm3 0.5927 0.6820 0.8658
Pm4 0.0850 0.6679 0.5193
Pm5 0.5829 0.6679 0.5193
Pm6 0.5024 0.0048 0.6799
Pm7 0.4976 0.9952 0.3201
Pm8 0.9150 0.3321 0.4807
Pm9 0.4171 0.3321 0.4807
Pm10 0.9107 0.3180 0.1342
Pm11 0.4073 0.3180 0.1342
Pm12 0.0230 0.0459 0.7598
Pr1 0.1845 0.3691 0.8169
Pr2 0.3250 0.6500 0.2080
Pr3 0.0000 0.0000 0.5000
Pr4 0.6750 0.3500 0.7920
Pr5 0.8155 0.6309 0.1831
Ho1 0.7198 0.0000 0.0000
Ho2 0.2802 0.0000 0.0000

---

## Pm4Pr3Ho4 (PBE)

Data for a relaxed Pm4Pr3Ho4 crystal.

Properties
Density ... 7310 kg/m³
Space group ... No. 38
Energy of formation ... 0.152 eV per atom

a = 5.7723 Å, b = 6.7115 Å, c = 10.7969 Å
α = 90.00°, β = 90.00°, γ = 115.47°
Atoms (fractional coordinates):
Pm1 0.7515 0.5030 0.7867
Pm2 0.7515 0.5030 0.2133
Pm3 0.8849 0.7698 0.5000
Pm4 0.9591 0.9182 0.0000
Pr1 0.4098 0.8197 0.2912
Pr2 0.4098 0.8197 0.7088
Pr3 0.2537 0.5075 0.0000
Ho1 0.6128 0.2257 0.5000
Ho2 0.5563 0.1125 0.0000
Ho3 0.1045 0.2090 0.6978
Ho4 0.1045 0.2090 0.3022

---

## Pm3Pr2Ho6 (PBE)

Data for a relaxed Pm3Pr2Ho6 crystal.

Properties
Density ... 7455 kg/m³
Space group ... No. 139
Energy above the most stable polymorph in this dataset ... 7.2 kJ/mol of atoms
Energy of formation ... 0.257 eV per atom

a = 4.7758 Å, b = 4.7758 Å, c = 17.0028 Å
α = 98.07°, β = 98.07°, γ = 90.00°
Atoms (fractional coordinates):
Pm1 0.0000 0.0000 0.0000
Pm2 0.7965 0.7965 0.5931
Pm3 0.2035 0.2035 0.4069
Pr1 0.4535 0.4535 0.9070
Pr2 0.5465 0.5465 0.0930
Ho1 0.1216 0.6216 0.2432
Ho2 0.6216 0.1216 0.2432
Ho3 0.8784 0.3784 0.7568
Ho4 0.3784 0.8784 0.7568
Ho5 0.6935 0.6935 0.3869
Ho6 0.3065 0.3065 0.6131